## Pr4Y2Ga3O2 (PBE)

Data for crystalline Pr4Y2Ga3O2 at its relaxed geometry.

a b c (Å): 12.2531 12.2531 12.2531
angles (deg): 157.14 157.14 32.55
Closest atoms and distances in Å follow each position.
Fractional positions:
Pr 0.0851 0.5851 0.5000  2 O 2.49
Pr 0.4149 0.9149 0.5000  2 O 2.49
Pr 0.5851 0.0851 0.5000  2 O 2.49
Pr 0.9149 0.4149 0.5000  2 O 2.49
Y 0.2036 0.2036 0.0000  1 O 2.24
Y 0.7964 0.7964 0.0000  1 O 2.24
Ga 0.3284 0.3284 0.0000  1 Y 2.93, 4 Pr 3.17
Ga 0.5000 0.5000 0.0000  8 Pr 3.15
Ga 0.6716 0.6716 0.0000  1 Y 2.93, 4 Pr 3.17
O 0.1085 0.1085 0.0000  1 Y 2.24, 4 Pr 2.49
O 0.8915 0.8915 0.0000  1 Y 2.24, 4 Pr 2.49

Output
E_form (uncorrected)   -1.260 eV/atom
Theoretical density   5.9 g cm⁻³
Total DFT energy (no corrections)   -5.90 eV/atom
Space group   I4/mmm
Volume   25.215 A^3/atom

***

## GaPt2O (PBE)

Data for crystalline GaPt2O at its relaxed geometry.

a b c (Å): 7.1964 7.1964 7.1964
angles (deg): 142.28 142.28 54.40
Closest atoms and distances in Å follow each position.
Fractional positions:
Ga 0.0000 0.0000 0.0000  4 Pt 2.55
Ga 0.7500 0.2500 0.5000  4 Pt 2.55
Pt 0.2221 0.6250 0.0971  2 O 2.10
Pt 0.3750 0.4721 0.5971  2 O 2.10
Pt 0.5279 0.1250 0.9029  2 O 2.10
Pt 0.8750 0.7779 0.4029  2 O 2.10
O 0.2500 0.7500 0.5000  4 Pt 2.10
O 0.5000 0.5000 0.0000  4 Pt 2.10

Output
E_form (uncorrected)   -0.037 eV/atom
Theoretical density   11.4 g cm⁻³
Total DFT energy (no corrections)   -5.05 eV/atom
Space group   I-42d
Energy above the lowest structure with this stoichiometry   0 meV/atom
Volume   17.316 A^3/atom

***

## GaPt3O6 (PBE)

Data for crystalline GaPt3O6 at its relaxed geometry.

a b c (Å): 6.0514 6.0514 3.4187
angles (deg): 90.00 90.00 109.89
Closest atoms and distances in Å follow each position.
Fractional positions:
Ga 0.0000 0.0000 0.0000  8 O 2.20-2.33
Pt 0.0000 0.5000 0.5000  6 O 2.05-2.10
Pt 0.5000 0.0000 0.5000  6 O 2.05-2.10
Pt 0.5000 0.5000 0.0000  4 O 1.98
O 0.1402 0.8598 0.5000  2 Pt 2.05, 2 Ga 2.20
O 0.1533 0.4093 0.0000  3 Pt 1.98-2.10
O 0.4093 0.1533 0.0000  3 Pt 1.98-2.10
O 0.5907 0.8467 0.0000  3 Pt 1.98-2.10
O 0.8467 0.5907 0.0000  3 Pt 1.98-2.10
O 0.8598 0.1402 0.5000  2 Pt 2.05, 2 Ga 2.20

Output
E_form (uncorrected)   -0.691 eV/atom
Theoretical density   10.6 g cm⁻³
Total DFT energy (no corrections)   -5.78 eV/atom
Space group   Cmmm
Volume   11.772 A^3/atom